BaTa2Hg, optimized geometry, DFT PBE; uncorrected energy = -22.05 eV for the cell shown; space group = R-3m, No. 166
1.0
-8.6937 -3.4927 -6.4134
-9.9103 -4.1787 -3.6380
-10.2063 -1.3116 -4.7982
Ba Ta Hg
1 2 1
direct
0.2500 0.2500 0.2500
0.0109 0.0109 0.0109
0.4891 0.4891 0.4891
0.7500 0.7500 0.7500